Entry 1:
Below is Er2Tm8Zr after structural relaxation, with properties calculated at the GGA-PBE level.

Lattice parameters (Å, degrees): 4.8798 7.7522 9.1589 104.70 105.45 90.00
Element x y z (fractional)
Er 0.2265 0.6347 0.4530
Er 0.7735 0.3653 0.5470
Tm 0.5890 0.4448 0.1781
Tm 0.3211 0.0900 0.6423
Tm 0.1319 0.1755 0.2638
Tm 0.0443 0.7367 0.0886
Tm 0.8681 0.8245 0.7362
Tm 0.6789 0.9100 0.3577
Tm 0.4110 0.5552 0.8219
Tm 0.9557 0.2633 0.9114
Zr 0.5000 0.0000 0.0000

Summary:
Energy relative to the lowest polymorph listed for this composition in eV per atom: 0.0000
ρ in Mg/m³: 9.2
Formation energy in eV per atom: 0.041
Energy in eV per formula unit: -53.00


Entry 2:
Below is Er2TmZr after structural relaxation, with properties calculated at the GGA-PBE level.

Lattice parameters (Å, degrees): 3.3254 3.3254 12.0023 82.04 82.04 60.00
Element x y z (fractional)
Tm 0.5000 0.5000 0.5000
Zr 0.0000 0.0000 0.0000
Er 0.0873 0.0873 0.7382
Er 0.9127 0.9127 0.2618

Summary:
Energy relative to the lowest polymorph listed for this composition in eV per atom: 0.2269
ρ in Mg/m³: 8.7
Formation energy in eV per atom: 0.282
Energy in eV per formula unit: -21.02


Entry 3:
Below is Er7Tm2Zr2 after structural relaxation, with properties calculated at the GGA-PBE level.

Lattice parameters (Å, degrees): 5.7540 7.7880 7.7880 90.32 74.13 74.13
Element x y z (fractional)
Er 0.1680 0.0534 0.5935
Er 0.8320 0.4065 0.9466
Er 0.8320 0.9466 0.4065
Er 0.1680 0.5935 0.0534
Er 0.0000 0.0000 0.0000
Er 0.6058 0.7601 0.7601
Er 0.3942 0.2399 0.2399
Tm 0.5000 0.2261 0.7739
Tm 0.5000 0.7739 0.2261
Zr 0.7922 0.4324 0.4324
Zr 0.2078 0.5676 0.5676

Summary:
ρ in Mg/m³: 8.7
Formation energy in eV per atom: 0.245
Energy in eV per formula unit: -55.29


Entry 4:
Below is ErU after structural relaxation, with properties calculated at the GGA-PBE level.

Lattice parameters (Å, degrees): 3.1986 3.1986 5.7157 90.00 90.00 120.00
Last column: magnetic moment on the atom in μB.
Element x y z (fractional)
U 0.0000 0.0000 0.0000  1.74
Er 0.3333 0.6667 0.5000  0.02

Summary:
ρ in Mg/m³: 13.3
Formation energy in eV per atom: 0.425
Energy in eV per formula unit: -15.00


Entry 5:
Below is ErU4 after structural relaxation, with properties calculated at the GGA-PBE level.

Lattice parameters (Å, degrees): 5.3092 5.3092 5.3092 90.00 90.00 90.00
Last column: magnetic moment on the atom in μB.
Element x y z (fractional)
U 0.0000 0.0000 0.0000  2.87
U 0.5000 0.0000 0.5000  2.18
U 0.0000 0.5000 0.5000  2.18
U 0.5000 0.5000 0.0000  2.18
Er 0.5000 0.5000 0.5000  0.26

Summary:
ρ in Mg/m³: 12.4
Formation energy in eV per atom: 1.961
Energy in eV per formula unit: -39.91


Entry 6:
Below is Er4U after structural relaxation, with properties calculated at the GGA-PBE level.

Lattice parameters (Å, degrees): 5.5194 5.5194 5.5194 90.00 90.00 90.00
Last column: magnetic moment on the atom in μB.
Element x y z (fractional)
U 0.5000 0.5000 0.5000  3.08
Er 0.0000 0.0000 0.0000  0.05
Er 0.5000 0.0000 0.5000  0.51
Er 0.0000 0.5000 0.5000  0.51
Er 0.5000 0.5000 0.0000  0.51

Summary:
ρ in Mg/m³: 9.0
Formation energy in eV per atom: 0.874
Energy in eV per formula unit: -25.17


Entry 7:
Below is ErUV4 after structural relaxation, with properties calculated at the GGA-PBE level.

Lattice parameters (Å, degrees): 5.2609 5.2609 5.2609 60.00 60.00 60.00
Last column: magnetic moment on the atom in μB.
Element x y z (fractional)
V 0.6228 0.6228 0.1316  -0.07
V 0.6228 0.1316 0.6228  -0.07
V 0.6228 0.6228 0.6228  -0.07
V 0.1316 0.6228 0.6228  -0.07
U 0.2500 0.2500 0.2500  0.83
Er 0.0000 0.0000 0.0000  -0.01

Summary:
ρ in Mg/m³: 9.8
Formation energy in eV per atom: 0.289
Energy in eV per formula unit: -50.59


Entry 8:
Below is ErUV after structural relaxation, with properties calculated at the GGA-PBE level.

Lattice parameters (Å, degrees): 3.1193 5.8210 8.0555 67.62 78.84 74.46
Element x y z (fractional)
Er 0.3986 0.8233 0.3796
Er 0.6014 0.1767 0.6204
U 0.1228 0.7567 0.9977
U 0.8772 0.2433 0.0023
V 0.8286 0.5968 0.7459
V 0.1714 0.4032 0.2541

Summary:
ρ in Mg/m³: 11.7
Formation energy in eV per atom: 0.312
Energy in eV per formula unit: -24.03


Entry 9:
Below is ErUZn after structural relaxation, with properties calculated at the GGA-PBE level.

Lattice parameters (Å, degrees): 4.6806 3.0869 9.3096 80.46 90.00 90.00
Element x y z (fractional)
Er 0.2500 0.1358 0.7285
Er 0.7500 0.8642 0.2715
U 0.2500 0.4708 0.0584
U 0.7500 0.5292 0.9416
Zn 0.7500 0.7031 0.5938
Zn 0.2500 0.2969 0.4062

Summary:
ρ in Mg/m³: 11.8
Formation energy in eV per atom: 0.089
Energy in eV per formula unit: -16.86


Entry 10:
Below is Er2UZn after structural relaxation, with properties calculated at the GGA-PBE level.

Lattice parameters (Å, degrees): 3.1847 3.1847 11.4218 81.99 81.99 60.00
Last column: magnetic moment on the atom in μB.
Element x y z (fractional)
Zn 0.5000 0.5000 0.5000  0.02
U 0.0000 0.0000 0.0000  2.03
Er 0.0959 0.0959 0.7122  0.00
Er 0.9041 0.9041 0.2878  0.00

Summary:
ρ in Mg/m³: 10.7
Formation energy in eV per atom: 0.355
Energy in eV per formula unit: -20.27


Entry 11:
Below is ErUZn17 after structural relaxation, with properties calculated at the GGA-PBE level.

Lattice parameters (Å, degrees): 6.7806 6.7806 6.7806 82.72 82.72 82.72
Last column: magnetic moment on the atom in μB.
Element x y z (fractional)
Er 0.6636 0.6636 0.6636  -0.01
U 0.3360 0.3360 0.3360  2.51
Zn 0.2979 0.9993 0.7030  0.01
Zn 0.7030 0.2979 0.9993  0.01
Zn 0.9993 0.7030 0.2979  0.01
Zn 0.2979 0.7030 0.9993  0.01
Zn 0.9993 0.2979 0.7030  0.01
Zn 0.7030 0.9993 0.2979  0.01
Zn 0.3526 0.8386 0.3526  0.01
Zn 0.3526 0.3526 0.8386  0.01
Zn 0.8386 0.3526 0.3526  0.01
Zn 0.6460 0.1620 0.6460  0.01
Zn 0.6460 0.6460 0.1620  0.01
Zn 0.1620 0.6460 0.6460  0.01
Zn 0.0017 0.4990 0.0017  0.00
Zn 0.0017 0.0017 0.4990  0.00
Zn 0.4990 0.0017 0.0017  0.00
Zn 0.8994 0.8994 0.8994  0.00
Zn 0.1004 0.1004 0.1004  0.01

Summary:
ρ in Mg/m³: 8.3
Formation energy in eV per atom: -0.133
Energy in eV per formula unit: -40.03


Entry 12:
Below is ErZr2U after structural relaxation, with properties calculated at the GGA-PBE level.

Lattice parameters (Å, degrees): 3.2242 3.2242 11.0622 81.62 81.62 60.00
Last column: magnetic moment on the atom in μB.
Element x y z (fractional)
U 0.0000 0.0000 0.0000  1.73
Zr 0.2525 0.2525 0.2424  -0.02
Zr 0.7475 0.7475 0.7576  -0.02
Er 0.5000 0.5000 0.5000  0.02

Summary:
ρ in Mg/m³: 9.9
Formation energy in eV per atom: 0.244
Energy in eV per formula unit: -31.97


What is the formula in the first record? Er2Tm8Zr


What did the twelfth record say?
Below is ErZr2U after structural relaxation, with properties calculated at the GGA-PBE level.

Lattice parameters (Å, degrees): 3.2242 3.2242 11.0622 81.62 81.62 60.00
Last column: magnetic moment on the atom in μB.
Element x y z (fractional)
U 0.0000 0.0000 0.0000  1.73
Zr 0.2525 0.2525 0.2424  -0.02
Zr 0.7475 0.7475 0.7576  -0.02
Er 0.5000 0.5000 0.5000  0.02

Summary:
ρ in Mg/m³: 9.9
Formation energy in eV per atom: 0.244
Energy in eV per formula unit: -31.97


energy of number 9 (ErUZn)? -16.86 eV per formula unit